(1)
Compound: SmZr4O9
Source: Alexandria via LeMat-Bulk
Functional: GGA-PBEsol
Structure: optimized geometry

abc: 3.5204 18.5768 5.1535
angles: 90.00 90.00 90.00
With the nearest neighbours (Å) after each atom.
Space group Imm2 (No. 44)
Inequivalent atoms, fractional coordinates:
Sm: 0.0000 0.0000 0.0000  4 O 2.29-2.33
Zr: 0.0000 0.1976 0.0332  8 O 2.13-2.29
Zr: 0.0000 0.3903 0.0336  7 O 2.08-2.20
O: 0.0000 0.0984 0.2808  3 Zr 2.20-2.24, 1 Sm 2.33
O: 0.0000 0.1073 0.7796  3 Zr 2.13-2.17, 1 Sm 2.29
O: 0.0000 0.2971 0.2815  4 Zr 2.15-2.25
O: 0.0000 0.2991 0.7806  4 Zr 2.14-2.29
O: 0.0000 0.5000 0.1139  2 Zr 2.08

## Properties
Density, g/cm3: 6.50
Electronic total energy, eV/f.u.: -135.7
Formation energy without anion corrections, eV/atom: -3.361
Crystal system: orthorhombic

(2)
Compound: CrMo2Rh
Source: Alexandria via LeMat-Bulk
Functional: GGA-PBEsol
Structure: optimized geometry

abc: 2.6581 2.6581 7.8866
angles: 90.00 90.00 90.00
With the nearest neighbours (Å) after each atom.
Space group P4/mmm (No. 123)
Inequivalent atoms, fractional coordinates:
Cr: 0.0000 0.0000 0.0000  4 Cr 2.66, 8 Mo 2.71
Mo: 0.5000 0.5000 0.2481  4 Mo 2.66, 4 Cr 2.71, 4 Rh 2.73
Rh: 0.0000 0.0000 0.5000  4 Rh 2.66, 8 Mo 2.73

## Properties
Density, g/cm3: 10.33
Electronic total energy, eV/f.u.: -41.3
Energy above the most stable polymorph in this dataset, meV per atom: 5
Crystal system: tetragonal

(3)
Compound: Fe2PbBrN
Source: Alexandria via LeMat-Bulk
Functional: GGA-PBEsol
Structure: optimized geometry

abc: 4.4551 4.4551 4.2449
angles: 90.00 90.00 90.00
With the nearest neighbours (Å) after each atom.
Space group P4/mmm (No. 123)
Inequivalent atoms, fractional coordinates:
Fe: 0.0000 0.5000 0.0000  2 Br 2.23
Pb: 0.0000 0.0000 0.5000  8 Fe 3.08, 4 N 3.15
Br: 0.5000 0.5000 0.0000  2 N 2.12, 4 Fe 2.23
N: 0.5000 0.5000 0.5000  2 Br 2.12

## Properties
Density, g/cm3: 8.14
Electronic total energy, eV/f.u.: -24.6
Formation energy without anion corrections, eV/atom: 1.545
Crystal system: tetragonal

(4)
Compound: Mn2CuAs
Source: Alexandria via LeMat-Bulk
Functional: GGA-PBEsol
Structure: optimized geometry

abc: 3.6773 3.6773 3.6410
angles: 90.00 90.00 90.00
With the nearest neighbours (Å) after each atom.
Space group P4/mmm (No. 123)
Inequivalent atoms, fractional coordinates:
Mn: 0.0000 0.5000 0.0000  4 As 2.59, 4 Cu 2.59, 4 Mn 2.60
Cu: 0.0000 0.0000 0.5000  8 Mn 2.59, 4 As 2.60
As: 0.5000 0.5000 0.5000  8 Mn 2.59, 4 Cu 2.60

## Properties
Density, g/cm3: 8.38
Electronic total energy, eV/f.u.: -28.7
Crystal system: tetragonal

(5)
Compound: BaSI2O
Source: Alexandria via LeMat-Bulk
Functional: GGA-PBEsol
Structure: optimized geometry

abc: 6.7605 6.7605 4.3904
angles: 90.00 90.00 90.00
With the nearest neighbours (Å) after each atom.
Space group P4/mmm (No. 123)
Inequivalent atoms, fractional coordinates:
Ba: 0.0000 0.0000 0.0000  2 O 2.20
S: 0.5000 0.5000 0.5000  8 I 4.03, 2 S 4.39
I: 0.0000 0.5000 0.0000  2 Ba 3.38
O: 0.0000 0.0000 0.5000  2 Ba 2.20

## Properties
Density, g/cm3: 3.63
Electronic total energy, eV/f.u.: -15.5
Formation energy without anion corrections, eV/atom: -0.035
Crystal system: tetragonal

(6)
Compound: Mg2ZrCd
Source: Alexandria via LeMat-Bulk
Functional: GGA-PBEsol
Structure: optimized geometry

abc: 3.1324 3.1324 8.5476
angles: 90.00 90.00 90.00
With the nearest neighbours (Å) after each atom.
Space group P4/mmm (No. 123)
Inequivalent atoms, fractional coordinates:
Mg: 0.0000 0.0000 0.2386  4 Cd 3.01, 4 Mg 3.13, 4 Zr 3.15
Zr: 0.5000 0.5000 0.5000  4 Zr 3.13, 8 Mg 3.15
Cd: 0.5000 0.5000 0.0000  8 Mg 3.01, 4 Cd 3.13

## Properties
Density, g/cm3: 4.99
Electronic total energy, eV/f.u.: -13.9
Crystal system: tetragonal

(7)
Compound: K2LiP
Source: Alexandria via LeMat-Bulk
Functional: GGA-PBEsol
Structure: optimized geometry

abc: 4.4516 5.6540 9.0245
angles: 90.00 90.00 90.00
With the nearest neighbours (Å) after each atom.
Space group Imm2 (No. 44)
Inequivalent atoms, fractional coordinates:
K: 0.0000 0.0000 0.0000  4 K 3.27-3.62, 4 Li 3.29-3.60, 1 P 3.54
K: 0.0000 0.5000 0.1831  4 K 3.27-3.62, 1 Li 3.34, 4 P 3.40-3.44
Li: 0.0000 0.5000 0.8132  2 P 2.34
P: 0.0000 0.0000 0.3920  2 Li 2.34

## Properties
Density, g/cm3: 1.70
Electronic total energy, eV/f.u.: -11.3
Crystal system: orthorhombic

(8)
Compound: ZrAs3Cl
Source: Alexandria via LeMat-Bulk
Functional: GGA-PBEsol
Structure: optimized geometry

abc: 5.1034 5.1034 5.1034
angles: 90.00 90.00 90.00
With the nearest neighbours (Å) after each atom.
Space group Pm-3m (No. 221)
Inequivalent atoms, fractional coordinates:
Zr: 0.0000 0.0000 0.0000  6 As 2.55
As: 0.0000 0.0000 0.5000  2 Zr 2.55
Cl: 0.5000 0.5000 0.5000  12 As 3.61

## Properties
Density, g/cm3: 4.39
Electronic total energy, eV/f.u.: -25.3
Formation energy without anion corrections, eV/atom: 0.228
Crystal system: cubic